(1)
# RbTaNO

An optimized crystal structure of RbTaNO (PBE, OQMD via LeMat-Bulk).

The offset from the most stable computed form comes out at 0.0587 eV/atom.

The space group is Pmc2_1 (No. 26) and the conventional cell measures 3.526, 7.213 and 6.252 Å, with angles of 90.00, 90.00 and 90.00 degrees. The inequivalent atoms are Rb at (0.000, 0.141, 0.000), Ta at (0.500, 0.387, 0.500), N at (0.000, 0.267, 0.487) and O at (0.500, 0.398, 0.825).


(2)
# K4Ag2BiAs

An optimized crystal structure of K4Ag2BiAs (PBE, OQMD via LeMat-Bulk).

The total energy comes out at -2.715 eV per atom.

The space group is Amm2 (No. 38) and the conventional cell measures 6.277, 10.420 and 8.220 Å, with angles of 90.00, 90.00 and 90.00 degrees. The inequivalent atoms are K at (0.000, 0.167, 0.000), K at (0.500, 0.179, 0.702), Ag at (0.261, 0.000, 0.327), Bi at (0.000, 0.000, 0.604) and As at (0.500, 0.000, 0.073).


(3)
# YTmB4

An optimized crystal structure of YTmB4 (PBE, OQMD via LeMat-Bulk).

The offset from the most stable computed form comes out at 0.0000 eV/atom.

The space group is P6/mmm (No. 191) and the conventional cell measures 3.2778, 3.2778 and 7.6194 Å, with angles of 90.00, 90.00 and 120.00 degrees. The inequivalent atoms are Y at (0.0000, 0.0000, 0.0000), Tm at (0.0000, 0.0000, 0.5000) and B at (0.3333, 0.6667, 0.2544).


(4)
# YCoBPt

An optimized crystal structure of YCoBPt (PBE, OQMD via LeMat-Bulk).

The offset from the most stable computed form comes out at 0.0000 eV/atom.

The space group is F-43m (No. 216) and the conventional cell measures 6.194, 6.194 and 6.194 Å, with angles of 90.00, 90.00 and 90.00 degrees. The inequivalent atoms are Y at (0.000, 0.000, 0.000), Co at (0.250, 0.250, 0.750), B at (0.000, 0.000, 0.500) and Pt at (0.250, 0.250, 0.250).


(5)
# AsAu3Se2S2

An optimized crystal structure of AsAu3Se2S2 (PBE, OQMD via LeMat-Bulk).

The total energy comes out at -3.628 eV per atom.

The space group is C2 (No. 5) and the conventional cell measures 12.922, 5.821 and 5.841 Å, with angles of 90.00, 116.12 and 90.00 degrees. The inequivalent atoms are As at (0.000, 0.000, 0.000), Au at (0.000, 0.536, 0.500), Au at (0.250, 0.017, 0.774), Se at (0.123, 0.254, 0.365) and S at (0.121, 0.772, 0.879).


(6)
# KHf3Se5

An optimized crystal structure of KHf3Se5 (PBE, OQMD via LeMat-Bulk).

The total energy comes out at -6.515 eV per atom.

The space group is P6/mmm (No. 191) and the conventional cell measures 6.1526, 6.1526 and 7.6238 Å, with angles of 90.00, 90.00 and 120.00 degrees. The inequivalent atoms are K at (0.0000, 0.0000, 0.0000), Hf at (0.0000, 0.5000, 0.5000), Se at (0.0000, 0.0000, 0.5000) and Se at (0.3333, 0.6667, 0.2378).


(7)
# InAgSn

An optimized crystal structure of InAgSn (PBE, OQMD via LeMat-Bulk).

The total energy comes out at -3.088 eV per atom.

The space group is F-43m (No. 216) and the conventional cell measures 6.852, 6.852 and 6.852 Å, with angles of 90.00, 90.00 and 90.00 degrees. The inequivalent atoms are In at (0.000, 0.000, 0.000), Ag at (0.000, 0.000, 0.500) and Sn at (0.250, 0.250, 0.750).


(8)
# HfCdNO

An optimized crystal structure of HfCdNO (PBE, OQMD via LeMat-Bulk).

The offset from the most stable computed form comes out at 0.3323 eV/atom.

The space group is P4/nmm (No. 129, origin choice 2) and the conventional cell measures 4.604, 4.604 and 4.730 Å, with angles of 90.00, 90.00 and 90.00 degrees. The inequivalent atoms are Hf at (0.250, 0.750, 0.000), Cd at (0.250, 0.250, 0.495), N at (0.250, 0.250, 0.997) and O at (0.250, 0.750, 0.500).


(9)
# ScGeTe3Au

An optimized crystal structure of ScGeTe3Au (PBE, OQMD via LeMat-Bulk).

The offset from the most stable computed form comes out at 0.0000 eV/atom.

The space group is Cmcm (No. 63) and the conventional cell measures 4.053, 14.768 and 10.985 Å, with angles of 90.00, 90.00 and 90.00 degrees. The inequivalent atoms are Sc at (0.000, 0.000, 0.000), Ge at (0.000, 0.176, 0.250), Te at (0.000, 0.093, 0.750), Te at (0.000, 0.356, 0.543) and Au at (0.000, 0.465, 0.750).


(10)
# KTmTa

An optimized crystal structure of KTmTa (PBE, OQMD via LeMat-Bulk).

The offset from the most stable computed form comes out at 0.0000 eV/atom.

The space group is F-43m (No. 216) and the conventional cell measures 7.655, 7.655 and 7.655 Å, with angles of 90.00, 90.00 and 90.00 degrees. The inequivalent atoms are K at (0.000, 0.000, 0.000), Tm at (0.250, 0.250, 0.250) and Ta at (0.000, 0.000, 0.500).


(11)
# PrYTl

An optimized crystal structure of PrYTl (PBE, OQMD via LeMat-Bulk).

The total energy comes out at -4.599 eV per atom.

The space group is F-43m (No. 216) and the conventional cell measures 7.452, 7.452 and 7.452 Å, with angles of 90.00, 90.00 and 90.00 degrees. The inequivalent atoms are Pr at (0.000, 0.000, 0.000), Y at (0.000, 0.000, 0.500) and Tl at (0.250, 0.250, 0.250).


(12)
# RbSm2

An optimized crystal structure of RbSm2 (PBE, OQMD via LeMat-Bulk).

The total energy comes out at -2.172 eV per atom.

The space group is Fm-3m (No. 225) and the conventional cell measures 8.036, 8.036 and 8.036 Å, with angles of 90.00, 90.00 and 90.00 degrees. The inequivalent atoms are Rb at (0.000, 0.000, 0.000) and Sm at (0.250, 0.250, 0.250).


(13)
# TbSm2Ag4Sn4

An optimized crystal structure of TbSm2Ag4Sn4 (PBE, OQMD via LeMat-Bulk).

The total energy comes out at -4.286 eV per atom.

The space group is Immm (No. 71) and the conventional cell measures 4.635, 7.316 and 15.406 Å, with angles of 90.00, 90.00 and 90.00 degrees. The inequivalent atoms are Tb at (0.000, 0.000, 0.000), Sm at (0.000, 0.500, 0.128), Ag at (0.000, 0.302, 0.328), Sn at (0.000, 0.000, 0.213) and Sn at (0.000, 0.198, 0.500).


(14)
# BaFeHgS3

An optimized crystal structure of BaFeHgS3 (PBE, OQMD via LeMat-Bulk).

The offset from the most stable computed form comes out at 0.1201 eV/atom.

The space group is Cmcm (No. 63) and the conventional cell measures 4.000, 13.896 and 10.381 Å, with angles of 90.00, 90.00 and 90.00 degrees. The inequivalent atoms are Ba at (0.000, 0.227, 0.250), Fe at (0.000, 0.000, 0.000), Hg at (0.000, 0.490, 0.750), S at (0.000, 0.101, 0.750) and S at (0.000, 0.384, 0.550).


(15)
# PrHoNi8B2

An optimized crystal structure of PrHoNi8B2 (PBE, OQMD via LeMat-Bulk).

The offset from the most stable computed form comes out at 0.0431 eV/atom.

The space group is P6/mmm (No. 191) and the conventional cell measures 5.0419, 5.0419 and 6.9851 Å, with angles of 90.00, 90.00 and 120.00 degrees. The inequivalent atoms are Pr at (0.0000, 0.0000, 0.0000), Ho at (0.0000, 0.0000, 0.5000), Ni at (0.0000, 0.5000, 0.2097), Ni at (0.3333, 0.6667, 0.5000) and B at (0.3333, 0.6667, 0.0000).


(16)
# GdNbAg2S4

An optimized crystal structure of GdNbAg2S4 (PBE, OQMD via LeMat-Bulk).

The total energy comes out at -5.444 eV per atom.

The space group is Cmm2 (No. 35) and the conventional cell measures 8.989, 9.037 and 4.031 Å, with angles of 90.00, 90.00 and 90.00 degrees. The inequivalent atoms are Gd at (0.000, 0.000, 0.000), Nb at (0.000, 0.500, 0.548), Ag at (0.250, 0.250, 0.773), S at (0.000, 0.316, 0.053) and S at (0.211, 0.000, 0.489).


(17)
# KLuTeO

An optimized crystal structure of KLuTeO (PBE, OQMD via LeMat-Bulk).

The offset from the most stable computed form comes out at 0.2941 eV/atom.

The space group is P4/nmm (No. 129, origin choice 2) and the conventional cell measures 4.148, 4.148 and 10.618 Å, with angles of 90.00, 90.00 and 90.00 degrees. The inequivalent atoms are K at (0.250, 0.750, 0.000), Lu at (0.250, 0.250, 0.416), Te at (0.250, 0.250, 0.761) and O at (0.250, 0.750, 0.500).


(18)
# MgScAu

An optimized crystal structure of MgScAu (PBE, OQMD via LeMat-Bulk).

The total energy comes out at -4.342 eV per atom.

The space group is Pnma (No. 62) and the conventional cell measures 5.939, 4.660 and 8.491 Å, with angles of 90.00, 90.00 and 90.00 degrees. The inequivalent atoms are Mg at (0.021, 0.250, 0.222), Sc at (0.198, 0.250, 0.576) and Au at (0.226, 0.250, 0.905).


(19)
# SmCo2SbAs

An optimized crystal structure of SmCo2SbAs (PBE, OQMD via LeMat-Bulk).

The total energy comes out at -6.166 eV per atom.

The space group is P4/nmm (No. 129, origin choice 2) and the conventional cell measures 4.282, 4.282 and 9.699 Å, with angles of 90.00, 90.00 and 90.00 degrees. The inequivalent atoms are Sm at (0.250, 0.250, 0.235), Co at (0.250, 0.250, 0.899), Co at (0.250, 0.750, 0.500), Sb at (0.250, 0.250, 0.639) and As at (0.250, 0.750, 0.000).


(20)
# Cs4SbPAu2

An optimized crystal structure of Cs4SbPAu2 (PBE, OQMD via LeMat-Bulk).

The total energy comes out at -2.922 eV per atom.

The space group is Amm2 (No. 38) and the conventional cell measures 7.186, 11.419 and 7.849 Å, with angles of 90.00, 90.00 and 90.00 degrees. The inequivalent atoms are Cs at (0.000, 0.165, 0.000), Cs at (0.500, 0.173, 0.679), Sb at (0.000, 0.000, 0.552), P at (0.500, 0.000, 0.089) and Au at (0.273, 0.000, 0.314).